Entry 1:
{
  "formula": "Co3GeH",
  "functional": "GGA-PBE",
  "state": "optimized geometry",
  "crystal_system": "hexagonal",
  "total_energy_ev_per_atom": -5.9418,
  "lattice": [[5.1069, 0.0000, 0.0000], [-2.5535, 4.4227, 0.0000], [0.0000, 0.0000, 4.1417]],
  "species": ["Co", "Co", "Co", "Co", "Co", "Co", "Ge", "Ge", "H", "H"],
  "fractional_positions": [[0.1688, 0.8292, 0.2500], [0.1708, 0.3397, 0.2500], [0.3397, 0.1688, 0.7500], [0.6603, 0.8312, 0.2500], [0.8292, 0.6603, 0.7500], [0.8312, 0.1708, 0.7500], [0.3333, 0.6667, 0.7500], [0.6667, 0.3333, 0.2500], [0.0000, 0.0000, 0.0000], [0.0000, 0.0000, 0.5000]]
}

***

Entry 2:
{
  "formula": "Co3GeH",
  "functional": "GGA-PBE",
  "state": "optimized geometry",
  "crystal_system": "cubic",
  "total_energy_ev_per_atom": -5.7684,
  "lattice": [[0.0000, 4.7420, 4.7420], [4.7420, 0.0000, 4.7420], [4.7420, 4.7420, 0.0000]],
  "species": ["Co", "Co", "Co", "Co", "Co", "Co", "Co", "Co", "Co", "Co", "Co", "Co", "Ge", "Ge", "Ge", "Ge", "H", "H", "H", "H"],
  "fractional_positions": [[0.0663, 0.0663, 0.6837], [0.0663, 0.6837, 0.0663], [0.0663, 0.6837, 0.6837], [0.3163, 0.3163, 0.9337], [0.3163, 0.9337, 0.3163], [0.3163, 0.9337, 0.9337], [0.6837, 0.0663, 0.0663], [0.6837, 0.0663, 0.6837], [0.6837, 0.6837, 0.0663], [0.9337, 0.3163, 0.3163], [0.9337, 0.3163, 0.9337], [0.9337, 0.9337, 0.3163], [0.0000, 0.5000, 0.5000], [0.5000, 0.0000, 0.5000], [0.5000, 0.5000, 0.0000], [0.5000, 0.5000, 0.5000], [0.0000, 0.0000, 0.0000], [0.0000, 0.0000, 0.5000], [0.0000, 0.5000, 0.0000], [0.5000, 0.0000, 0.0000]]
}

***

Entry 3:
{
  "formula": "Co3GeH",
  "functional": "GGA-PBE",
  "state": "optimized geometry",
  "crystal_system": "trigonal",
  "total_energy_ev_per_atom": -5.7451,
  "lattice": [[2.2534, 1.3010, 5.9690], [-2.2534, 1.3010, 5.9690], [0.0000, -2.6021, 5.9690]],
  "species": ["Co", "Co", "Co", "Co", "Co", "Co", "Ge", "Ge", "H", "H"],
  "fractional_positions": [[0.1120, 0.7639, 0.4566], [0.2361, 0.5434, 0.8880], [0.4566, 0.1120, 0.7639], [0.5434, 0.8880, 0.2361], [0.7639, 0.4566, 0.1120], [0.8880, 0.2361, 0.5434], [0.3340, 0.3340, 0.3340], [0.6660, 0.6660, 0.6660], [0.1573, 0.1573, 0.1573], [0.8427, 0.8427, 0.8427]]
}

***

Entry 4:
{
  "formula": "Co3GeH",
  "functional": "GGA-PBE",
  "state": "optimized geometry",
  "crystal_system": "hexagonal",
  "total_energy_ev_per_atom": -5.5935,
  "lattice": [[3.6480, 0.0000, 0.0000], [-1.8240, 3.1593, 0.0000], [0.0000, 0.0000, 9.9921]],
  "species": ["Co", "Co", "Co", "Co", "Co", "Co", "Ge", "Ge", "H", "H"],
  "fractional_positions": [[0.0000, 0.0000, 0.2500], [0.0000, 0.0000, 0.7500], [0.3333, 0.6667, 0.0940], [0.3333, 0.6667, 0.4060], [0.6667, 0.3333, 0.5940], [0.6667, 0.3333, 0.9060], [0.0000, 0.0000, 0.0000], [0.0000, 0.0000, 0.5000], [0.3333, 0.6667, 0.2500], [0.6667, 0.3333, 0.7500]]
}

***

Entry 5:
{
  "formula": "Co3GeH",
  "functional": "GGA-PBE",
  "state": "optimized geometry",
  "crystal_system": "orthorhombic",
  "total_energy_ev_per_atom": -5.9221,
  "lattice": [[1.3369, -4.7858, 0.0000], [1.3369, 4.7858, 0.0000], [0.0000, 0.0000, 7.5066]],
  "species": ["Co", "Co", "Co", "Co", "Co", "Co", "Ge", "Ge", "H", "H"],
  "fractional_positions": [[0.0222, 0.9778, 0.7500], [0.3712, 0.6288, 0.5254], [0.3712, 0.6288, 0.9746], [0.6288, 0.3712, 0.0254], [0.6288, 0.3712, 0.4746], [0.9778, 0.0222, 0.2500], [0.2496, 0.7504, 0.2500], [0.7504, 0.2496, 0.7500], [0.0000, 0.0000, 0.0000], [0.0000, 0.0000, 0.5000]]
}

***

Entry 6:
{
  "formula": "Co3GeH",
  "functional": "GGA-PBE",
  "state": "optimized geometry",
  "crystal_system": "hexagonal",
  "total_energy_ev_per_atom": -5.6731,
  "lattice": [[4.0067, 0.0000, 0.0000], [-2.0034, 3.4699, 0.0000], [0.0000, 0.0000, 7.1462]],
  "species": ["Co", "Co", "Co", "Co", "Co", "Co", "Ge", "Ge", "H", "H"],
  "fractional_positions": [[0.0000, 0.0000, 0.2500], [0.0000, 0.0000, 0.7500], [0.3333, 0.6667, 0.0782], [0.3333, 0.6667, 0.4218], [0.6667, 0.3333, 0.5782], [0.6667, 0.3333, 0.9218], [0.3333, 0.6667, 0.7500], [0.6667, 0.3333, 0.2500], [0.0000, 0.0000, 0.0000], [0.0000, 0.0000, 0.5000]]
}

***

Entry 7:
{
  "formula": "Co3GeH",
  "functional": "GGA-PBE",
  "state": "optimized geometry",
  "crystal_system": "monoclinic",
  "total_energy_ev_per_atom": -5.8479,
  "lattice": [[6.3393, 0.0000, 0.0000], [0.0000, 4.6230, 0.0000], [-1.3208, 0.0000, 6.6097]],
  "species": ["Co", "Co", "Co", "Co", "Co", "Co", "Co", "Co", "Co", "Co", "Co", "Co", "Ge", "Ge", "Ge", "Ge", "H", "H", "H", "H"],
  "fractional_positions": [[0.0581, 0.0872, 0.1832], [0.0581, 0.4128, 0.6832], [0.1966, 0.5753, 0.0612], [0.1966, 0.9247, 0.5612], [0.3203, 0.0947, 0.9294], [0.3203, 0.4053, 0.4294], [0.6797, 0.5947, 0.5706], [0.6797, 0.9053, 0.0706], [0.8034, 0.0753, 0.4388], [0.8034, 0.4247, 0.9388], [0.9419, 0.5872, 0.3168], [0.9419, 0.9128, 0.8168], [0.4153, 0.6113, 0.8045], [0.4153, 0.8887, 0.3045], [0.5847, 0.1113, 0.6955], [0.5847, 0.3887, 0.1955], [0.0616, 0.2482, 0.9357], [0.0616, 0.2518, 0.4357], [0.9384, 0.7482, 0.5643], [0.9384, 0.7518, 0.0643]]
}

***

Entry 8:
{
  "formula": "Co3GeH",
  "functional": "GGA-PBE",
  "state": "optimized geometry",
  "crystal_system": "monoclinic",
  "total_energy_ev_per_atom": -5.8627,
  "lattice": [[3.5416, -3.7065, 0.0000], [3.5416, 3.7065, 0.0000], [0.0000, 0.0000, 3.5623]],
  "species": ["Co", "Co", "Co", "Co", "Co", "Co", "Ge", "Ge", "H", "H"],
  "fractional_positions": [[0.0000, 0.0000, 0.0000], [0.2493, 0.7546, 0.5001], [0.2498, 0.2498, 0.5001], [0.5083, 0.5083, 0.0000], [0.7546, 0.2493, 0.5001], [0.7589, 0.7589, 0.4997], [0.0220, 0.4802, 0.0003], [0.4802, 0.0220, 0.0003], [0.5066, 0.5066, 0.5000], [0.7587, 0.7587, 0.9984]]
}

***

no.,relative energy among the computed polymorphs (meV/atom)
1,40
2,213
3,236
4,388
5,59
6,308
7,134
8,119